*one*
## ZrHgBr2 (PBE)

Data for a geometry-optimized ZrHgBr2 structure.

Unit cell a=5.4086 b=5.4086 c=3.4840 alpha=90.00 beta=90.00 gamma=104.94
With the nearest neighbours (Å) after each atom.
Element x y z (fractional)
Br 0.5000 0.5000 0.0000  4 Hg 3.22, 4 Zr 3.22, 4 Br 3.29-3.48
Br 0.0000 0.0000 0.0000  4 Zr 3.22, 4 Hg 3.22, 4 Br 3.29-3.48
Hg 0.5000 0.0000 0.5000  8 Br 3.22, 2 Zr 3.29, 2 Hg 3.48
Zr 0.0000 0.5000 0.5000  8 Br 3.22, 2 Hg 3.29, 2 Zr 3.48

Properties
- space group = Cmmm (65)


*two*
## ZrHgBr2 (PBE)

Data for a geometry-optimized ZrHgBr2 structure.

Unit cell a=3.5029 b=3.5029 c=8.3270 alpha=90.00 beta=90.00 gamma=90.00
With the nearest neighbours (Å) after each atom.
Element x y z (fractional)
Hg 0.0000 0.0000 0.5195  4 Br 3.04, 4 Zr 3.08
Zr 0.5000 0.5000 0.7392  4 Br 2.95, 4 Hg 3.08
Br 0.5000 0.5000 0.3085  4 Hg 3.04
Br 0.0000 0.0000 0.9327  4 Zr 2.95

Properties
- space group = P4mm (99)


*three*
## ZrHgBr2 (PBE)

Data for a geometry-optimized ZrHgBr2 structure.

Unit cell a=3.5223 b=3.5610 c=10.8078 alpha=89.78 beta=90.00 gamma=90.00
With the nearest neighbours (Å) after each atom.
Element x y z (fractional)
Hg 0.5000 0.2500 0.2500  4 Hg 3.52-3.56
Br 0.0000 0.7535 0.5628  2 Zr 2.68
Zr 0.5000 0.7500 0.7500  4 Br 2.68
Br 0.0000 0.7465 0.9372  2 Zr 2.68

Properties
- space group = P2/m (10)


*three* comes first in stability; the runner-up is 17.3 kJ/mol of atoms higher.


*one*
## HoIBr (PBE)

Data for a geometry-optimized HoIBr structure.

Unit cell a=3.9892 b=3.9892 c=7.8145 alpha=90.00 beta=90.00 gamma=120.00
With the nearest neighbours (Å) after each atom.
Element x y z (fractional)
Ho 0.6667 0.3333 0.3432  3 Br 2.90, 3 I 3.04
Br 0.3333 0.6667 0.5684  3 Ho 2.90
I 0.0000 0.0000 0.0884  3 Ho 3.04

Properties
- space group = P3m1 (156)


*two*
## HoIBr (PBE)

Data for a geometry-optimized HoIBr structure.

Unit cell a=3.9927 b=6.8904 c=8.9905 alpha=64.76 beta=77.83 gamma=90.00
With the nearest neighbours (Å) after each atom.
Element x y z (fractional)
Ho 0.2513 0.2638 0.4980  3 Br 2.89-2.90, 3 I 3.05
I 0.8748 0.5614 0.2378  3 Ho 3.05
Br 0.3500 0.0359 0.2887  3 Ho 2.89-2.90
Ho 0.7487 0.7362 0.5020  3 Br 2.89-2.90, 3 I 3.05
I 0.1252 0.4386 0.7622  3 Ho 3.05
Br 0.6500 0.9641 0.7113  3 Ho 2.89-2.90

Properties
- space group = P-1 (2)


*two* comes first in stability; the runner-up is 1.1 kJ/mol of atoms higher.


*one*
## HoI2Br (PBE)

Data for a geometry-optimized HoI2Br structure.

Unit cell a=3.8903 b=7.7062 c=7.7065 alpha=60.28 beta=75.40 gamma=75.41
With the nearest neighbours (Å) after each atom.
Element x y z (fractional)
Br 0.2499 0.1510 0.3490  2 Ho 2.83
I 0.0922 0.8895 0.9261  2 Ho 3.04
Ho 0.7502 0.8856 0.6144  2 Br 2.83, 4 I 3.04
I 0.4077 0.5739 0.6106  2 Ho 3.04

Properties
- space group = Imm2 (44)


*two*
## HoI2Br (PBE)

Data for a geometry-optimized HoI2Br structure.

Unit cell a=4.3273 b=5.5734 c=8.7034 alpha=88.95 beta=75.66 gamma=90.00
With the nearest neighbours (Å) after each atom.
Element x y z (fractional)
Br 0.0000 0.5000 0.0000  2 Ho 2.79
I 0.3745 0.9928 0.2521  2 Ho 3.03
I 0.6256 0.0072 0.7479  2 Ho 3.03
Ho 0.9999 0.0000 0.0000  2 Br 2.79, 4 I 3.03

Properties
- space group = P-1 (2)


*two* comes first in stability; the runner-up is 1.9 kJ/mol of atoms higher.


*one*
## Ho2IrBr (PBE)

Data for a geometry-optimized Ho2IrBr structure.

Unit cell a=4.0394 b=4.0394 c=7.8985 alpha=75.18 beta=75.18 gamma=60.00
With the nearest neighbours (Å) after each atom.
Element x y z (fractional)
Ho 0.7300 0.7300 0.8100  3 Ir 2.74
Ho 0.2700 0.2700 0.1900  3 Ir 2.74
Br 0.5000 0.5000 0.5000  6 Ho 3.30
Ir 0.0000 0.0000 0.0000  6 Ho 2.74

Properties
- space group = R-3m (166)


*two*
## Ho2IrBr (PBE)

Data for a geometry-optimized Ho2IrBr structure.

Unit cell a=3.4026 b=3.4026 c=8.1816 alpha=90.00 beta=90.00 gamma=90.00
With the nearest neighbours (Å) after each atom.
Element x y z (fractional)
Br 0.5000 0.5000 0.5000  4 Br 3.40, 8 Ho 3.41
Ho 0.0000 0.0000 0.7961  4 Ir 2.93
Ir 0.5000 0.5000 0.0000  8 Ho 2.93
Ho 0.0000 0.0000 0.2039  4 Ir 2.93

Properties
- space group = P4/mmm (123)


*one* comes first in stability; the runner-up is 17.8 kJ/mol of atoms higher.


*one*
## La2HoBr (PBE)

Data for a geometry-optimized La2HoBr structure.

Unit cell a=3.7454 b=3.7454 c=11.0104 alpha=80.21 beta=80.21 gamma=60.00
With the nearest neighbours (Å) after each atom.
Element x y z (fractional)
Ho 0.5000 0.5000 0.5000  6 La 3.64, 6 Ho 3.75
Br 0.0000 0.0000 0.0000  6 La 3.29
La 0.7431 0.7431 0.7707  3 Br 3.29, 3 Ho 3.64
La 0.2569 0.2569 0.2293  3 Br 3.29, 3 Ho 3.64

Properties
- space group = R-3m (166)


*two*
## La2HoBr (PBE)

Data for a geometry-optimized La2HoBr structure.

Unit cell a=3.6470 b=3.6470 c=9.7549 alpha=90.00 beta=90.00 gamma=90.00
With the nearest neighbours (Å) after each atom.
Element x y z (fractional)
Br 0.5000 0.5000 0.5000  8 La 3.44, 4 Br 3.65
La 0.0000 0.0000 0.7341  4 Br 3.44, 4 La 3.65, 4 Ho 3.66
La 0.0000 0.0000 0.2659  4 Br 3.44, 4 La 3.65, 4 Ho 3.66
Ho 0.5000 0.5000 0.0000  4 Ho 3.65, 8 La 3.66

Properties
- space group = P4/mmm (123)


*one* comes first in stability; the runner-up is 6.4 kJ/mol of atoms higher.


*one*
## Nd2HoBr (PBE)

Data for a geometry-optimized Nd2HoBr structure.

Unit cell a=3.5943 b=3.5943 c=9.6798 alpha=90.00 beta=90.00 gamma=90.00
With the nearest neighbours (Å) after each atom.
Element x y z (fractional)
Nd 0.0000 0.0000 0.7643  4 Br 3.42, 4 Nd 3.59, 4 Ho 3.61
Nd 0.0000 0.0000 0.2357  4 Br 3.42, 4 Nd 3.59, 4 Ho 3.61
Br 0.5000 0.5000 0.0000  8 Nd 3.42, 4 Br 3.59
Ho 0.5000 0.5000 0.5000  4 Ho 3.59, 8 Nd 3.61

Properties
- space group = P4/mmm (123)


*two*
## Nd2HoBr (PBE)

Data for a geometry-optimized Nd2HoBr structure.

Unit cell a=3.7055 b=3.7055 c=10.8033 alpha=80.12 beta=80.12 gamma=60.00
With the nearest neighbours (Å) after each atom.
Element x y z (fractional)
Ho 0.5000 0.5000 0.5000  6 Nd 3.58, 6 Ho 3.71
Br 0.0000 0.0000 0.0000  6 Nd 3.23
Nd 0.7428 0.7428 0.7715  3 Br 3.23, 3 Ho 3.58
Nd 0.2572 0.2572 0.2285  3 Br 3.23, 3 Ho 3.58

Properties
- space group = R-3m (166)


*two* comes first in stability; the runner-up is 7.2 kJ/mol of atoms higher.


*one*
## NdHoBr (PBE)

Data for a geometry-optimized NdHoBr structure.

Unit cell a=3.7586 b=3.7586 c=7.4650 alpha=90.00 beta=90.00 gamma=120.00
With the nearest neighbours (Å) after each atom.
Element x y z (fractional)
Ho 0.0000 0.0000 0.0218  3 Br 3.12, 3 Nd 3.49
Br 0.6667 0.3333 0.3225  3 Ho 3.12, 3 Nd 3.30
Nd 0.3333 0.6667 0.6557  3 Br 3.30, 3 Ho 3.49

Properties
- space group = P3m1 (156)


*two*
## NdHoBr (PBE)

Data for a geometry-optimized NdHoBr structure.

Unit cell a=5.5824 b=3.6016 c=9.3575 alpha=78.90 beta=90.00 gamma=90.00
With the nearest neighbours (Å) after each atom.
Element x y z (fractional)
Br 0.2500 0.3079 0.3841  1 Ho 2.92, 1 Nd 3.14
Ho 0.2500 0.4669 0.0662  1 Br 2.92, 2 Ho 3.04
Ho 0.7500 0.5331 0.9338  1 Br 2.92, 2 Ho 3.04
Nd 0.7500 0.8628 0.2744  5 Br 3.14-3.47
Br 0.7500 0.6921 0.6159  1 Ho 2.92, 1 Nd 3.14
Nd 0.2500 0.1372 0.7256  5 Br 3.14-3.47

Properties
- space group = Cmcm (63)


*one* comes first in stability; the runner-up is 11.3 kJ/mol of atoms higher.


*one*
## Ho2NiBr (PBE)

Data for a geometry-optimized Ho2NiBr structure.

Unit cell a=3.9227 b=3.9227 c=7.8386 alpha=75.51 beta=75.51 gamma=60.00
With the nearest neighbours (Å) after each atom.
Element x y z (fractional)
Ho 0.2702 0.2702 0.1895  3 Ni 2.67
Ni 0.0000 0.0000 0.0000  6 Ho 2.67
Br 0.5000 0.5000 0.5000  6 Ho 3.25
Ho 0.7298 0.7298 0.8105  3 Ni 2.67

Properties
- space group = R-3m (166)


*two*
## Ho2NiBr (PBE)

Data for a geometry-optimized Ho2NiBr structure.

Unit cell a=3.9221 b=3.9221 c=7.9026 alpha=75.63 beta=75.63 gamma=60.00
With the nearest neighbours (Å) after each atom.
Element x y z (fractional)
Ni 0.6672 0.6672 0.9984  6 Ho 2.67
Ho 0.0628 0.0628 0.8117  3 Ni 2.67
Br 0.4981 0.4981 0.5057  6 Ho 3.24-3.32
Ho 0.2719 0.2719 0.1843  3 Ni 2.67

Properties
- space group = R3m (160)


*one* comes first in stability; the runner-up is 1.8 kJ/mol of atoms higher.


*one*
## Ho2OsBr (PBE)

Data for a geometry-optimized Ho2OsBr structure.

Unit cell a=3.9877 b=3.9877 c=7.9612 alpha=75.50 beta=75.50 gamma=60.00
With the nearest neighbours (Å) after each atom.
Element x y z (fractional)
Ho 0.7316 0.7316 0.8050  3 Os 2.74
Ho 0.2684 0.2684 0.1950  3 Os 2.74
Br 0.5000 0.5000 0.5000  6 Ho 3.27
Os 0.0000 0.0000 0.0000  6 Ho 2.74

Properties
- space group = R-3m (166)


*two*
## Ho2OsBr (PBE)

Data for a geometry-optimized Ho2OsBr structure.

Unit cell a=3.3789 b=3.3789 c=8.1612 alpha=90.00 beta=90.00 gamma=90.00
With the nearest neighbours (Å) after each atom.
Element x y z (fractional)
Ho 0.0000 0.0000 0.7955  4 Os 2.91
Br 0.5000 0.5000 0.5000  4 Br 3.38, 8 Ho 3.40
Ho 0.0000 0.0000 0.2045  4 Os 2.91
Os 0.5000 0.5000 0.0000  8 Ho 2.91

Properties
- space group = P4/mmm (123)


*two* comes first in stability; the runner-up is 9.2 kJ/mol of atoms higher.


*one*
## PmHoBr6 (PBE)

Data for a geometry-optimized PmHoBr6 structure.

Unit cell a=7.0433 b=7.0441 c=7.6645 alpha=62.64 beta=82.29 gamma=73.03
With the nearest neighbours (Å) after each atom.
Element x y z (fractional)
Br 0.2573 0.6003 0.2842  1 Ho 2.81, 1 Pm 2.90
Br 0.7457 0.7472 0.0000  1 Ho 2.79, 1 Pm 2.87
Pm 0.0000 0.0000 0.0000  6 Br 2.87-2.90
Br 0.7427 0.3997 0.7158  1 Ho 2.81, 1 Pm 2.90
Br 0.2573 0.8844 0.7158  1 Ho 2.81, 1 Pm 2.90
Br 0.2543 0.2528 0.0000  1 Ho 2.79, 1 Pm 2.87
Ho 0.5000 0.5000 0.0000  6 Br 2.79-2.81
Br 0.7427 0.1156 0.2842  1 Ho 2.81, 1 Pm 2.90

Properties
- space group = C2/m (12)


*two*
## PmHoBr6 (PBE)

Data for a geometry-optimized PmHoBr6 structure.

Unit cell a=7.1224 b=7.1215 c=7.6832 alpha=62.39 beta=62.39 gamma=60.00
With the nearest neighbours (Å) after each atom.
Element x y z (fractional)
Br 0.9026 0.5878 0.2540  1 Ho 2.80, 1 Pm 2.89
Br 0.7444 0.0974 0.7461  1 Ho 2.80, 1 Pm 2.89
Br 0.0974 0.4122 0.7460  1 Ho 2.80, 1 Pm 2.89
Br 0.4121 0.7445 0.7460  1 Ho 2.80, 1 Pm 2.89
Pm 0.0000 0.0000 0.0000  6 Br 2.89
Br 0.5879 0.2555 0.2540  1 Ho 2.80, 1 Pm 2.89
Ho 0.5000 0.5000 0.5000  6 Br 2.80
Br 0.2556 0.9026 0.2539  1 Ho 2.80, 1 Pm 2.89

Properties
- space group = R-3 (148)


*one* comes first in stability; the runner-up is 1.6 kJ/mol of atoms higher.


*one*
## Pm2HoBr (PBE)

Data for a geometry-optimized Pm2HoBr structure.

Unit cell a=3.6875 b=3.6875 c=10.7208 alpha=80.10 beta=80.10 gamma=60.00
With the nearest neighbours (Å) after each atom.
Element x y z (fractional)
Pm 0.7427 0.7427 0.7718  3 Br 3.21, 3 Ho 3.56
Ho 0.5000 0.5000 0.5000  6 Pm 3.56, 6 Ho 3.69
Pm 0.2573 0.2573 0.2282  3 Br 3.21, 3 Ho 3.56
Br 0.0000 0.0000 0.0000  6 Pm 3.21

Properties
- space group = R-3m (166)


*two*
## Pm2HoBr (PBE)

Data for a geometry-optimized Pm2HoBr structure.

Unit cell a=3.5739 b=3.5739 c=9.6310 alpha=90.00 beta=90.00 gamma=90.00
With the nearest neighbours (Å) after each atom.
Element x y z (fractional)
Br 0.5000 0.5000 0.0000  8 Pm 3.40, 4 Br 3.57
Pm 0.0000 0.0000 0.7639  4 Br 3.40, 4 Pm 3.57, 4 Ho 3.58
Ho 0.5000 0.5000 0.5000  4 Ho 3.57, 8 Pm 3.58
Pm 0.0000 0.0000 0.2361  4 Br 3.40, 4 Pm 3.57, 4 Ho 3.58

Properties
- space group = P4/mmm (123)


*one* comes first in stability; the runner-up is 7.6 kJ/mol of atoms higher.


*one*
## Ho2SiBr (PBE)

Data for a geometry-optimized Ho2SiBr structure.

Unit cell a=4.1498 b=7.2254 c=7.8500 alpha=73.50 beta=90.00 gamma=90.00
With the nearest neighbours (Å) after each atom.
Element x y z (fractional)
Ho 0.5009 0.0954 0.5390  3 Si 2.77-2.81, 1 Br 3.04
Br 0.2797 0.9540 0.2281  4 Ho 3.04-3.15
Ho 0.5009 0.3120 0.9167  3 Si 2.77-2.81, 1 Br 3.04
Si 0.0062 0.2037 0.7278  6 Ho 2.77-2.81
Ho 0.0645 0.5954 0.5389  3 Si 2.77-2.81, 1 Br 3.04
Si 0.5591 0.7037 0.7278  6 Ho 2.77-2.81
Ho 0.0644 0.8119 0.9168  3 Si 2.77-2.81, 1 Br 3.04
Br 0.2815 0.4538 0.2276  4 Ho 3.04-3.15

Properties
- space group = P2 (3)


*two*
## Ho2SiBr (PBE)

Data for a geometry-optimized Ho2SiBr structure.

Unit cell a=4.0807 b=4.0807 c=7.6927 alpha=74.62 beta=74.62 gamma=60.00
With the nearest neighbours (Å) after each atom.
Element x y z (fractional)
Ho 0.2672 0.2672 0.1985  3 Si 2.79
Ho 0.0672 0.0672 0.7983  3 Si 2.76
Si 0.6683 0.6683 0.9952  6 Ho 2.76-2.79
Br 0.4973 0.4973 0.5080  6 Ho 3.17-3.27

Properties
- space group = R3m (160)


*two* comes first in stability; the runner-up is 4.8 kJ/mol of atoms higher.